# 1
Compound: NaMo2P2O9
Source: Alexandria via LeMat-Bulk
Functional: GGA+U
Structure: relaxed

Cell and atoms, written as CIF:
```
data_NaMo2P2O9
_symmetry_space_group_name_H-M 'P n m a'
_symmetry_Int_Tables_number 62
_cell_length_a 14.532
_cell_length_b 6.692
_cell_length_c 8.076
_cell_angle_alpha 90.00
_cell_angle_beta 90.00
_cell_angle_gamma 90.00
loop_
_symmetry_equiv_pos_as_xyz
'x,y,z'
'-x,-y,-z'
'-x+1/2,-y,z+1/2'
'x+1/2,y,-z+1/2'
'x+1/2,-y+1/2,-z+1/2'
'-x+1/2,y+1/2,z+1/2'
'-x,y+1/2,-z'
'x,-y+1/2,z'
loop_
_atom_site_label
_atom_site_fract_x
_atom_site_fract_y
_atom_site_fract_z
_atom_site_occupancy
Na1 0.222 0.250 0.166 1
Mo1 0.000 0.000 0.000 1
Mo2 0.116 0.250 0.649 1
P1 0.060 0.750 0.655 1
P2 0.196 0.750 0.096 1
O1 0.008 0.750 0.827 1
O2 0.014 0.250 0.479 1
O3 0.047 0.250 0.856 1
O4 0.123 0.566 0.647 1
O5 0.137 0.558 0.084 1
O6 0.224 0.250 0.464 1
O7 0.246 0.250 0.760 1
```

---

# 2
Compound: NaMo3P3O16
Source: Alexandria via LeMat-Bulk
Functional: GGA+U
Structure: relaxed

Cell and atoms, written as CIF:
```
data_NaMo3P3O16
_symmetry_space_group_name_H-M 'P -1'
_symmetry_Int_Tables_number 2
_cell_length_a 6.501
_cell_length_b 7.838
_cell_length_c 12.985
_cell_angle_alpha 80.02
_cell_angle_beta 79.16
_cell_angle_gamma 82.32
loop_
_symmetry_equiv_pos_as_xyz
'x,y,z'
'-x,-y,-z'
loop_
_atom_site_label
_atom_site_fract_x
_atom_site_fract_y
_atom_site_fract_z
_atom_site_occupancy
Na1 0.098 0.347 0.326 1
Mo1 0.095 0.242 0.837 1
Mo2 0.300 0.785 0.463 1
Mo3 0.441 0.793 0.854 1
P1 0.076 0.162 0.102 1
P2 0.191 0.148 0.577 1
P3 0.439 0.511 0.684 1
O1 0.019 0.243 0.512 1
O2 0.077 0.965 0.105 1
O3 0.100 0.591 0.178 1
O4 0.123 0.170 0.693 1
O5 0.129 0.257 0.988 1
O6 0.141 0.761 0.840 1
O7 0.222 0.950 0.575 1
O8 0.243 0.197 0.167 1
O9 0.278 0.594 0.613 1
O10 0.305 0.953 0.359 1
O11 0.343 0.384 0.781 1
O12 0.360 0.579 0.377 1
O13 0.365 0.017 0.855 1
O14 0.391 0.236 0.524 1
O15 0.416 0.696 0.983 1
O16 0.478 0.343 0.268 1
```

---

no.,calculated volume (Å³/atom),energy (eV/atom)
1,14.024,-7.152
2,13.838,-7.078